# 1
Compound: U3Fe2Si4
Source: Alexandria via LeMat-Bulk
Functional: GGA-PBE
Structure: optimized geometry

Calculated values
- Uncorrected formation energy: -405 meV/atom
- Space group: C2/m, No. 12
- E_tot: -8.459 eV per atom

a b c (Å): 5.614 5.614 7.801
angles (deg): 109.80 109.80 41.50
Sites, in units of the cell vectors:
U1 0.000 0.000 0.000
U2 0.393 0.393 0.339
U3 0.607 0.607 0.661
Fe1 0.299 0.299 0.645
Fe2 0.701 0.701 0.355
Si1 0.103 0.103 0.385
Si2 0.279 0.279 0.930
Si3 0.721 0.721 0.070
Si4 0.897 0.897 0.615

# 2
Compound: Ho3Er7In
Source: Alexandria via LeMat-Bulk
Functional: GGA-PBE
Structure: optimized geometry

Calculated values
- ΔH_f (0 K): 122 meV per atom
- Space group: P3m1, No. 156
- E_tot: -4.279 eV per atom

a b c (Å): 6.894 6.894 8.429
angles (deg): 90.00 90.00 120.00
Sites, in units of the cell vectors:
Ho1 0.167 0.335 0.000
Ho2 0.167 0.833 0.000
Ho3 0.665 0.833 0.000
Er1 0.006 0.503 0.663
Er2 0.331 0.165 0.340
Er3 0.333 0.667 0.328
Er4 0.497 0.503 0.663
Er5 0.497 0.994 0.663
Er6 0.835 0.165 0.340
Er7 0.835 0.669 0.340
In1 0.000 0.000 0.664

# 3
Compound: HfNb2Zn2
Source: Alexandria via LeMat-Bulk
Functional: GGA-PBE
Structure: optimized geometry

Calculated values
- ΔH_f (0 K): 15 meV per atom
- Space group: P4/mbm, No. 127
- E_tot: -6.513 eV per atom

a b c (Å): 7.293 7.293 3.315
angles (deg): 90.00 90.00 90.00
Sites, in units of the cell vectors:
Hf1 0.000 0.000 0.000
Hf2 0.500 0.500 0.000
Nb1 0.178 0.322 0.500
Nb2 0.322 0.822 0.500
Nb3 0.678 0.178 0.500
Nb4 0.822 0.678 0.500
Zn1 0.120 0.620 0.000
Zn2 0.380 0.120 0.000
Zn3 0.620 0.880 0.000
Zn4 0.880 0.380 0.000

# 4
Compound: Pm8Pr5Ho
Source: Alexandria via LeMat-Bulk
Functional: GGA-PBE
Structure: optimized geometry

Calculated values
- ΔH_f (0 K): 235 meV per atom
- Space group: I-4, No. 82
- E_tot: -4.514 eV per atom

a b c (Å): 8.647 8.647 8.647
angles (deg): 110.66 110.66 107.13
Sites, in units of the cell vectors:
Pm1 0.163 0.429 0.099
Pm2 0.330 0.063 0.901
Pm3 0.422 0.164 0.397
Pm4 0.571 0.670 0.734
Pm5 0.767 0.025 0.603
Pm6 0.836 0.233 0.258
Pm7 0.937 0.837 0.266
Pm8 0.975 0.578 0.742
Pr1 0.000 0.000 0.000
Pr2 0.211 0.315 0.682
Pr3 0.471 0.789 0.103
Pr4 0.633 0.529 0.318
Pr5 0.685 0.367 0.897
Ho1 0.250 0.750 0.500

# 5
Compound: Sn2GeSb
Source: Alexandria via LeMat-Bulk
Functional: GGA-PBE
Structure: optimized geometry

Calculated values
- Uncorrected formation energy: 193 meV/atom
- Space group: Fm-3m, No. 225
- E_tot: -3.993 eV per atom

a b c (Å): 5.247 5.247 5.247
angles (deg): 60.00 60.00 60.00
Sites, in units of the cell vectors:
Sn1 0.250 0.250 0.250
Sn2 0.750 0.750 0.750
Ge1 0.000 0.000 0.000
Sb1 0.500 0.500 0.500

# 6
Compound: CsYPaS4
Source: Alexandria via LeMat-Bulk
Functional: GGA-PBE
Structure: optimized geometry

Calculated values
- Uncorrected formation energy: -1635 meV/atom
- Space group: Imma, No. 74
- E_tot: -6.396 eV per atom

a b c (Å): 8.597 8.597 8.597
angles (deg): 119.69 119.42 90.78
Sites, in units of the cell vectors:
Cs1 0.375 0.125 0.250
Cs2 0.625 0.875 0.750
Y1 0.000 0.500 0.500
Y2 0.500 0.500 0.000
Pa1 0.000 0.000 0.500
Pa2 0.000 0.500 0.000
S1 0.177 0.730 0.448
S2 0.218 0.270 0.948
S3 0.224 0.272 0.548
S4 0.224 0.676 0.952
S5 0.776 0.324 0.048
S6 0.776 0.728 0.452
S7 0.782 0.730 0.052
S8 0.823 0.270 0.552

# 7
Compound: Sr2RhAu
Source: Alexandria via LeMat-Bulk
Functional: GGA-PBE
Structure: optimized geometry

Calculated values
- ΔH_f (0 K): -409 meV per atom
- Space group: Pmm2, No. 25
- E_tot: -3.908 eV per atom

a b c (Å): 3.648 5.340 5.339
angles (deg): 90.00 90.00 90.00
Sites, in units of the cell vectors:
Sr1 0.000 0.000 0.000
Sr2 0.000 0.500 0.498
Rh1 0.500 0.000 0.501
Au1 0.500 0.500 0.997

# 8
Compound: HoTm3Pt12
Source: Alexandria via LeMat-Bulk
Functional: GGA-PBE
Structure: optimized geometry

Calculated values
- ΔH_f (0 K): -1078 meV per atom
- Space group: P4/mmm, No. 123
- E_tot: -6.733 eV per atom

a b c (Å): 4.102 4.102 16.341
angles (deg): 90.00 90.00 90.00
Sites, in units of the cell vectors:
Ho1 0.000 0.000 0.000
Tm1 0.000 0.000 0.251
Tm2 0.000 0.000 0.500
Tm3 0.000 0.000 0.749
Pt1 0.000 0.500 0.126
Pt2 0.000 0.500 0.375
Pt3 0.000 0.500 0.625
Pt4 0.000 0.500 0.874
Pt5 0.500 0.000 0.126
Pt6 0.500 0.000 0.375
Pt7 0.500 0.000 0.625
Pt8 0.500 0.000 0.874
Pt9 0.500 0.500 0.000
Pt10 0.500 0.500 0.251
Pt11 0.500 0.500 0.500
Pt12 0.500 0.500 0.749

# 9
Compound: Rb3TbPa3Te8
Source: Alexandria via LeMat-Bulk
Functional: GGA-PBE
Structure: optimized geometry

Calculated values
- Uncorrected formation energy: -1025 meV/atom
- Space group: R-3m, No. 166
- E_tot: -5.102 eV per atom

a b c (Å): 10.241 10.241 10.241
angles (deg): 51.06 51.06 51.06
Sites, in units of the cell vectors:
Rb1 0.000 0.500 0.500
Rb2 0.500 0.000 0.500
Rb3 0.500 0.500 0.000
Tb1 0.500 0.500 0.500
Pa1 0.000 0.000 0.500
Pa2 0.000 0.500 0.000
Pa3 0.500 0.000 0.000
Te1 0.232 0.735 0.735
Te2 0.235 0.235 0.235
Te3 0.265 0.265 0.768
Te4 0.265 0.768 0.265
Te5 0.735 0.232 0.735
Te6 0.735 0.735 0.232
Te7 0.765 0.765 0.765
Te8 0.768 0.265 0.265

# 10
Compound: LiPaZnSi
Source: Alexandria via LeMat-Bulk
Functional: GGA-PBE
Structure: optimized geometry

Calculated values
- Uncorrected formation energy: -120 meV/atom
- Space group: F-43m, No. 216
- E_tot: -4.647 eV per atom

a b c (Å): 4.731 4.731 4.731
angles (deg): 60.00 60.00 60.00
Sites, in units of the cell vectors:
Li1 0.000 0.000 0.000
Pa1 0.500 0.500 0.500
Zn1 0.250 0.250 0.250
Si1 0.750 0.750 0.750

# 11
Compound: NaH3C4O5
Source: Alexandria via LeMat-Bulk
Functional: GGA-PBE
Structure: optimized geometry

Calculated values
- Space group: Pc, No. 7
- E_tot: -6.505 eV per atom

a b c (Å): 3.945 8.160 9.838
angles (deg): 90.00 103.54 90.00
Sites, in units of the cell vectors:
Na1 0.000 0.141 0.000
Na2 0.000 0.859 0.500
H1 0.602 0.041 0.200
H2 0.602 0.959 0.700
H3 0.614 0.234 0.206
H4 0.614 0.766 0.706
H5 0.792 0.495 0.367
H6 0.792 0.505 0.867
C1 0.185 0.256 0.559
C2 0.185 0.744 0.059
C3 0.188 0.439 0.562
C4 0.188 0.561 0.062
C5 0.445 0.436 0.693
C6 0.445 0.564 0.193
C7 0.454 0.258 0.696
C8 0.454 0.742 0.196
O1 0.026 0.149 0.479
O2 0.026 0.851 0.979
O3 0.028 0.448 0.983
O4 0.028 0.552 0.483
O5 0.583 0.141 0.140
O6 0.583 0.859 0.640
O7 0.605 0.448 0.275
O8 0.605 0.552 0.775
O9 0.618 0.152 0.777
O10 0.618 0.848 0.277

# 12
Compound: Ba2Mg3TlSn4
Source: Alexandria via LeMat-Bulk
Functional: GGA-PBE
Structure: optimized geometry

Calculated values
- ΔH_f (0 K): -412 meV per atom
- Space group: P-4m2, No. 115
- E_tot: -3.112 eV per atom

a b c (Å): 5.027 5.027 12.145
angles (deg): 90.00 90.00 90.00
Sites, in units of the cell vectors:
Ba1 0.000 0.500 0.244
Ba2 0.500 0.000 0.756
Mg1 0.000 0.500 0.873
Mg2 0.500 0.000 0.127
Mg3 0.500 0.500 0.500
Tl1 0.000 0.000 0.500
Sn1 0.000 0.000 0.000
Sn2 0.000 0.500 0.639
Sn3 0.500 0.000 0.361
Sn4 0.500 0.500 0.000

M_tot values, unit μB per formula unit, following the record order: 3.22, 0.00, 0.00, 0.00, 0.00, 1.02, 0.00, 0.00, 5.03, 0.00, 0.00, 0.00.